(1)
# SrMoSN2

A relaxed structure of SrMoSN2 (PBE, Alexandria via LeMat-Bulk).

Summary:
- Energy: -4.62 eV per atom
- Energy relative to the elements, uncorrected: 2.0345 eV per atom
- Offset from the most stable computed form: 2592 meV/atom
- Total magnetic moment: 8.749 Bohr magnetons per cell

The structure in CIF format:
```
data_SrMoSN2
_chemical_formula_sum 'Sr1 Mo1 S1 N2'
_space_group_name_H-M_alt 'P 4/m m m'
_space_group_IT_number 123
_space_group_name_Hall '-P 4 2'
_cell_length_a 4.681
_cell_length_b 4.681
_cell_length_c 6.029
_cell_angle_alpha 90.00
_cell_angle_beta 90.00
_cell_angle_gamma 90.00
loop_
_atom_site_label
_atom_site_type_symbol
_atom_site_fract_x
_atom_site_fract_y
_atom_site_fract_z
Sr1 Sr 0.000 0.000 0.000
Mo1 Mo 0.500 0.500 0.500
S1 S 0.000 0.000 0.500
N1 N 0.000 0.500 0.000
```


(2)
# TaMoSN2

A relaxed structure of TaMoSN2 (PBE, Alexandria via LeMat-Bulk).

Summary:
- Energy: -8.20 eV per atom
- Energy relative to the elements, uncorrected: 0.4905 eV per atom
- Offset from the most stable computed form: 0 meV/atom
- Total magnetic moment: 3.237 Bohr magnetons per cell

The structure in CIF format:
```
data_TaMoSN2
_chemical_formula_sum 'Ta1 Mo1 S1 N2'
_space_group_name_H-M_alt 'P 4/m m m'
_space_group_IT_number 123
_space_group_name_Hall '-P 4 2'
_cell_length_a 3.990
_cell_length_b 3.990
_cell_length_c 5.021
_cell_angle_alpha 90.00
_cell_angle_beta 90.00
_cell_angle_gamma 90.00
loop_
_atom_site_label
_atom_site_type_symbol
_atom_site_fract_x
_atom_site_fract_y
_atom_site_fract_z
Ta1 Ta 0.000 0.000 0.000
Mo1 Mo 0.500 0.500 0.500
S1 S 0.000 0.000 0.500
N1 N 0.000 0.500 0.000
```


(3)
# TaMoSN2

A relaxed structure of TaMoSN2 (PBE, Alexandria via LeMat-Bulk).

Summary:
- Energy: -7.98 eV per atom
- Energy relative to the elements, uncorrected: 0.7118 eV per atom
- Offset from the most stable computed form: 221 meV/atom
- Total magnetic moment: 0.176 Bohr magnetons per cell

The structure in CIF format:
```
data_TaMoSN2
_chemical_formula_sum 'Ta1 Mo1 S1 N2'
_space_group_name_H-M_alt 'P 4/m m m'
_space_group_IT_number 123
_space_group_name_Hall '-P 4 2'
_cell_length_a 3.869
_cell_length_b 3.869
_cell_length_c 4.773
_cell_angle_alpha 90.00
_cell_angle_beta 90.00
_cell_angle_gamma 90.00
loop_
_atom_site_label
_atom_site_type_symbol
_atom_site_fract_x
_atom_site_fract_y
_atom_site_fract_z
Ta1 Ta 0.000 0.000 0.000
Mo1 Mo 0.500 0.500 0.500
S1 S 0.500 0.500 0.000
N1 N 0.000 0.500 0.500
```


(4)
# TlMoS2N

A relaxed structure of TlMoS2N (PBE, Alexandria via LeMat-Bulk).

Summary:
- Energy: -5.99 eV per atom
- Energy relative to the elements, uncorrected: -0.0345 eV per atom
- Offset from the most stable computed form: 0 meV/atom
- Total magnetic moment: 0.000 Bohr magnetons per cell

The structure in CIF format:
```
data_TlMoS2N
_chemical_formula_sum 'Tl1 Mo1 S2 N1'
_space_group_name_H-M_alt 'P 4/m m m'
_space_group_IT_number 123
_space_group_name_Hall '-P 4 2'
_cell_length_a 4.931
_cell_length_b 4.931
_cell_length_c 3.860
_cell_angle_alpha 90.00
_cell_angle_beta 90.00
_cell_angle_gamma 90.00
loop_
_atom_site_label
_atom_site_type_symbol
_atom_site_fract_x
_atom_site_fract_y
_atom_site_fract_z
Tl1 Tl 0.000 0.000 0.000
Mo1 Mo 0.500 0.500 0.500
S1 S 0.000 0.500 0.500
N1 N 0.500 0.500 0.000
```